Entry from the Alexandria database: an optimized crystal structure of Ca2CuCl (PBE-GGA).

The structure in extended XYZ format:
```
4
Lattice="3.7799 0.0000 0.0000 0.0000 3.5807 0.0000 -0.0392 0.0000 7.8819" Properties=species:S:1:pos:R:3 pbc="T T T"
Ca -0.0015 0.0000 1.6917
Ca 3.7422 0.0000 6.1902
Cu 1.8900 1.7904 0.0000
Cl -0.0196 1.7904 3.9410
```

Properties
* formation energy from raw total energies: -0.822 eV/atom